BaMnP2Se8: optimized geometry, PBE-GGA.

Cell lengths 6.2460, 6.2460, 9.1775 Å; angles 90.00, 90.00, 120.00 degrees
Last column: nearest neighbours and their distance in Å.
Space group P-3 (No. 147)
Inequivalent atoms, fractional coordinates:
Ba  0.0000  0.0000  0.0000 x1  12 Se 3.62
Mn  0.0000  0.0000  0.5000 x1  6 Se 2.47
P  0.3333  0.6667  0.7250 x2  4 Se 2.18-2.29
Se  0.0157  0.6976  0.3327 x6  1 P 2.29, 1 Mn 2.47
Se  0.3333  0.6667  0.9628 x2  1 P 2.18

Formation energy (no corrections) ... -460 meV per atom

HfTeI3: optimized geometry, PBE-GGA.

Cell lengths 6.0699, 6.0699, 6.0699 Å; angles 90.00, 90.00, 90.00 degrees
Last column: nearest neighbours and their distance in Å.
Space group Pm-3m (No. 221)
Inequivalent atoms, fractional coordinates:
Hf  0.0000  0.0000  0.0000 x1  12 I 4.29
Te  0.5000  0.5000  0.5000 x1  6 I 3.03
I  0.0000  0.5000  0.5000 x3  2 Te 3.03

Formation energy (no corrections) ... 900 meV per atom

KCdPt2: optimized geometry, PBE-GGA.

Cell lengths 8.0847, 4.6102, 11.4600 Å; angles 90.00, 90.00, 90.00 degrees
Last column: nearest neighbours and their distance in Å.
Space group Pnma (No. 62)
Inequivalent atoms, fractional coordinates:
K  0.1520  0.2500  0.2445 x4  4 Pt 3.22-3.57, 1 Cd 3.48
Cd  0.0885  0.2500  0.5444 x4  4 Pt 2.74-2.79, 2 Cd 2.90
Pt  0.0786  0.7500  0.9993 x4  5 Pt 2.63-2.70, 1 Cd 2.74
Pt  0.2477  0.2500  0.9717 x4  3 Pt 2.66-2.70, 3 Cd 2.76-2.79

Energy relative to the elements ... -0.2129 eV per atom
Excess energy over the best structure of this formula in the dataset ... 0.0 meV per atom

Sc3SiS: optimized geometry, PBE-GGA.

Cell lengths 4.7311, 4.7311, 4.7311 Å; angles 90.00, 90.00, 90.00 degrees
Last column: nearest neighbours and their distance in Å.
Space group Pm-3m (No. 221)
Inequivalent atoms, fractional coordinates:
Sc  0.0000  0.0000  0.5000 x3  2 S 2.37
Si  0.5000  0.5000  0.5000 x1  12 Sc 3.35
S  0.0000  0.0000  0.0000 x1  6 Sc 2.37

Formation energy (no corrections) ... -675 meV per atom
Excess energy over the best structure of this formula in the dataset ... 0.0 meV per atom